# Cs3Sm2TmTe6 | Alexandria via LeMat-Bulk | PBE | optimized geometry
# - SG: C2/m (12)
# - Formation energy (no corrections): -1.389 eV per atom
# - Crystal system: monoclinic
# - Volume: 488.9 Å³ per cell
# - Magnetization: 0.00 Bohr magnetons per cell
data_Cs3Sm2TmTe6
_chemical_formula_sum 'Cs3 Sm2 Tm1 Te6'
_space_group_name_H-M_alt 'P 1'
_space_group_IT_number 1
_cell_length_a 7.952
_cell_length_b 7.952
_cell_length_c 9.313
_cell_angle_alpha 98.19
_cell_angle_beta 98.19
_cell_angle_gamma 120.00
loop_
_space_group_symop_operation_xyz
'x,y,z'
loop_
_atom_site_label
_atom_site_fract_x
_atom_site_fract_y
_atom_site_fract_z
Te1 0.389 0.063 0.191
Te2 0.611 0.937 0.809
Te3 0.063 0.389 0.191
Te4 0.262 0.262 0.808
Te5 0.738 0.738 0.192
Te6 0.937 0.611 0.809
Cs1 0.500 0.500 0.500
Cs2 0.169 0.831 0.500
Cs3 0.831 0.169 0.500
Tm1 0.000 0.000 0.000
Sm1 0.334 0.666 0.000
Sm2 0.666 0.334 0.000

=====

# Cs4Sm3TmTe8 | Alexandria via LeMat-Bulk | PBE | optimized geometry
# - SG: R-3m (166)
# - Formation energy (no corrections): -1.393 eV per atom
# - Crystal system: trigonal
# - Volume: 655.2 Å³ per cell
# - Magnetization: 0.00 Bohr magnetons per cell
data_Cs4Sm3TmTe8
_chemical_formula_sum 'Cs4 Sm3 Tm1 Te8'
_space_group_name_H-M_alt 'P 1'
_space_group_IT_number 1
_cell_length_a 9.202
_cell_length_b 10.395
_cell_length_c 9.204
_cell_angle_alpha 116.29
_cell_angle_beta 120.00
_cell_angle_gamma 90.00
loop_
_space_group_symop_operation_xyz
'x,y,z'
loop_
_atom_site_label
_atom_site_fract_x
_atom_site_fract_y
_atom_site_fract_z
Sm1 0.500 0.500 0.000
Sm2 0.500 0.500 0.500
Sm3 0.000 0.500 0.500
Te1 0.227 0.691 0.454
Te2 0.731 0.694 0.463
Te3 0.737 0.691 0.964
Te4 0.227 0.691 0.964
Te5 0.773 0.309 0.036
Te6 0.263 0.309 0.036
Te7 0.773 0.309 0.546
Te8 0.269 0.306 0.537
Cs1 0.000 0.000 0.500
Cs2 0.500 0.000 0.500
Cs3 0.500 0.000 0.000
Cs4 0.000 0.000 0.000
Tm1 0.000 0.500 0.000

=====

# Cs4Sm3UTe8 | Alexandria via LeMat-Bulk | PBE | optimized geometry
# - D(E_F): 7.95 states/eV/f.u.
# - SG: R-3m (166)
# - Formation energy (no corrections): -1.259 eV per atom
# - Crystal system: trigonal
# - Volume: 664.0 Å³ per cell
# - Magnetization: 2.96 Bohr magnetons per cell
data_Cs4Sm3UTe8
_chemical_formula_sum 'Cs4 Sm3 U1 Te8'
_space_group_name_H-M_alt 'P 1'
_space_group_IT_number 1
_cell_length_a 9.257
_cell_length_b 10.422
_cell_length_c 9.257
_cell_angle_alpha 116.37
_cell_angle_beta 120.00
_cell_angle_gamma 90.00
loop_
_space_group_symop_operation_xyz
'x,y,z'
loop_
_atom_site_label
_atom_site_fract_x
_atom_site_fract_y
_atom_site_fract_z
Te1 0.769 0.307 0.538
Te2 0.231 0.693 0.462
Te3 0.769 0.307 0.038
Te4 0.269 0.307 0.538
Te5 0.268 0.307 0.038
Te6 0.731 0.693 0.462
Te7 0.231 0.693 0.962
Te8 0.732 0.693 0.962
Cs1 0.500 0.000 0.500
Cs2 0.500 0.000 0.000
Cs3 0.000 0.000 0.000
Cs4 0.000 0.000 0.500
Sm1 0.500 0.500 0.000
Sm2 0.500 0.500 0.500
Sm3 0.000 0.500 0.500
U1 0.000 0.500 0.000

=====

# Cs3SmU2Te6 | Alexandria via LeMat-Bulk | PBE | optimized geometry
# - D(E_F): 15.38 states/eV/f.u.
# - SG: C2/m (12)
# - Formation energy (no corrections): -1.021 eV per atom
# - Crystal system: monoclinic
# - Volume: 490.7 Å³ per cell
# - Magnetization: 6.01 Bohr magnetons per cell
data_Cs3SmU2Te6
_chemical_formula_sum 'Cs3 Sm1 U2 Te6'
_space_group_name_H-M_alt 'P 1'
_space_group_IT_number 1
_cell_length_a 7.945
_cell_length_b 7.945
_cell_length_c 9.358
_cell_angle_alpha 98.14
_cell_angle_beta 98.14
_cell_angle_gamma 120.00
loop_
_space_group_symop_operation_xyz
'x,y,z'
loop_
_atom_site_label
_atom_site_fract_x
_atom_site_fract_y
_atom_site_fract_z
Cs1 0.165 0.835 0.500
Cs2 0.500 0.500 0.500
Cs3 0.835 0.165 0.500
U1 0.333 0.667 0.000
U2 0.667 0.333 0.000
Te1 0.272 0.272 0.808
Te2 0.728 0.728 0.192
Te3 0.600 0.936 0.807
Te4 0.400 0.064 0.193
Te5 0.936 0.600 0.807
Te6 0.064 0.400 0.193
Sm1 0.000 0.000 0.000

=====

# Cs4Sm3YTe8 | Alexandria via LeMat-Bulk | PBE | optimized geometry
# - SG: R-3m (166)
# - Formation energy (no corrections): -1.405 eV per atom
# - Crystal system: trigonal
# - Volume: 658.5 Å³ per cell
# - Magnetization: 0.00 Bohr magnetons per cell
data_Cs4Sm3YTe8
_chemical_formula_sum 'Cs4 Sm3 Y1 Te8'
_space_group_name_H-M_alt 'P 1'
_space_group_IT_number 1
_cell_length_a 9.225
_cell_length_b 10.404
_cell_length_c 9.226
_cell_angle_alpha 116.34
_cell_angle_beta 120.00
_cell_angle_gamma 90.00
loop_
_space_group_symop_operation_xyz
'x,y,z'
loop_
_atom_site_label
_atom_site_fract_x
_atom_site_fract_y
_atom_site_fract_z
Sm1 0.500 0.500 0.500
Sm2 0.500 0.500 0.000
Sm3 0.000 0.500 0.500
Cs1 0.500 0.000 0.500
Cs2 0.000 0.000 0.000
Cs3 0.000 0.000 0.500
Cs4 0.500 0.000 0.000
Te1 0.229 0.692 0.457
Te2 0.735 0.692 0.963
Te3 0.771 0.308 0.037
Te4 0.731 0.694 0.462
Te5 0.229 0.692 0.963
Te6 0.265 0.308 0.037
Te7 0.269 0.306 0.538
Te8 0.771 0.308 0.543
Y1 0.000 0.500 0.000

=====

# Cs3Sm2YTe6 | Alexandria via LeMat-Bulk | PBE | optimized geometry
# - SG: C2/m (12)
# - Formation energy (no corrections): -1.405 eV per atom
# - Crystal system: monoclinic
# - Volume: 492.5 Å³ per cell
# - Magnetization: 0.00 Bohr magnetons per cell
data_Cs3Sm2YTe6
_chemical_formula_sum 'Cs3 Sm2 Y1 Te6'
_space_group_name_H-M_alt 'P 1'
_space_group_IT_number 1
_cell_length_a 7.979
_cell_length_b 7.979
_cell_length_c 9.320
_cell_angle_alpha 98.20
_cell_angle_beta 98.20
_cell_angle_gamma 120.00
loop_
_space_group_symop_operation_xyz
'x,y,z'
loop_
_atom_site_label
_atom_site_fract_x
_atom_site_fract_y
_atom_site_fract_z
Te1 0.936 0.607 0.808
Te2 0.607 0.936 0.808
Te3 0.265 0.265 0.808
Te4 0.393 0.064 0.192
Te5 0.064 0.393 0.192
Te6 0.735 0.735 0.192
Y1 0.000 0.000 0.000
Cs1 0.832 0.168 0.500
Cs2 0.500 0.500 0.500
Cs3 0.168 0.832 0.500
Sm1 0.666 0.334 0.000
Sm2 0.334 0.666 0.000

=====

# Cs3SmY2Te6 | Alexandria via LeMat-Bulk | PBE | optimized geometry
# - SG: C2/m (12)
# - Formation energy (no corrections): -1.403 eV per atom
# - Crystal system: monoclinic
# - Volume: 486.4 Å³ per cell
# - Magnetization: 0.00 Bohr magnetons per cell
data_Cs3SmY2Te6
_chemical_formula_sum 'Cs3 Sm1 Y2 Te6'
_space_group_name_H-M_alt 'P 1'
_space_group_IT_number 1
_cell_length_a 7.934
_cell_length_b 7.934
_cell_length_c 9.306
_cell_angle_alpha 98.17
_cell_angle_beta 98.17
_cell_angle_gamma 120.00
loop_
_space_group_symop_operation_xyz
'x,y,z'
loop_
_atom_site_label
_atom_site_fract_x
_atom_site_fract_y
_atom_site_fract_z
Te1 0.401 0.064 0.191
Te2 0.726 0.726 0.191
Te3 0.064 0.401 0.191
Te4 0.599 0.936 0.809
Te5 0.274 0.274 0.809
Te6 0.936 0.599 0.809
Cs1 0.500 0.500 0.500
Cs2 0.165 0.835 0.500
Cs3 0.835 0.165 0.500
Sm1 0.000 0.000 0.000
Y1 0.333 0.667 0.000
Y2 0.667 0.333 0.000

=====

# Cs3Sm3YTe8 | Alexandria via LeMat-Bulk | PBE | optimized geometry
# - D(E_F): 8.53 states/eV/f.u.
# - SG: R-3m (166)
# - Formation energy (no corrections): -1.337 eV per atom
# - Crystal system: trigonal
# - Volume: 646.7 Å³ per cell
# - Magnetization: 0.00 Bohr magnetons per cell
data_Cs3Sm3YTe8
_chemical_formula_sum 'Cs3 Sm3 Y1 Te8'
_space_group_name_H-M_alt 'P 1'
_space_group_IT_number 1
_cell_length_a 8.995
_cell_length_b 8.995
_cell_length_c 10.593
_cell_angle_alpha 115.16
_cell_angle_beta 90.00
_cell_angle_gamma 119.99
loop_
_space_group_symop_operation_xyz
'x,y,z'
loop_
_atom_site_label
_atom_site_fract_x
_atom_site_fract_y
_atom_site_fract_z
Te1 0.229 0.458 0.692
Te2 0.771 0.037 0.308
Te3 0.771 0.542 0.308
Te4 0.268 0.537 0.305
Te5 0.229 0.963 0.692
Te6 0.734 0.963 0.692
Te7 0.266 0.037 0.308
Te8 0.732 0.463 0.695
Cs1 0.000 0.000 0.000
Cs2 0.500 0.500 0.000
Cs3 0.000 0.500 0.000
Sm1 0.500 0.000 0.500
Sm2 0.500 0.500 0.500
Sm3 0.000 0.500 0.500
Y1 0.000 0.000 0.500

=====

# CsSmZnTe3 | Alexandria via LeMat-Bulk | PBE | optimized geometry
# - SG: P2_1/m (11)
# - Formation energy (no corrections): -1.091 eV per atom
# - Crystal system: monoclinic
# - Volume: 478.8 Å³ per cell
# - Magnetization: 0.00 Bohr magnetons per cell
data_CsSmZnTe3
_chemical_formula_sum 'Cs2 Sm2 Zn2 Te6'
_space_group_name_H-M_alt 'P 1'
_space_group_IT_number 1
_cell_length_a 4.498
_cell_length_b 10.422
_cell_length_c 10.967
_cell_angle_alpha 111.35
_cell_angle_beta 90.00
_cell_angle_gamma 90.00
loop_
_space_group_symop_operation_xyz
'x,y,z'
loop_
_atom_site_label
_atom_site_fract_x
_atom_site_fract_y
_atom_site_fract_z
Zn1 0.250 0.084 0.611
Zn2 0.750 0.916 0.389
Te1 0.750 0.886 0.139
Te2 0.250 0.525 0.835
Te3 0.250 0.806 0.459
Te4 0.750 0.194 0.541
Te5 0.750 0.475 0.165
Te6 0.250 0.114 0.861
Sm1 0.750 0.328 0.862
Sm2 0.250 0.672 0.138
Cs1 0.750 0.783 0.754
Cs2 0.250 0.217 0.246

=====

# Cs2SmZn2Te4 | Alexandria via LeMat-Bulk | PBE | optimized geometry
# - D(E_F): 3.17 states/eV/f.u.
# - SG: C2/m (12)
# - Formation energy (no corrections): -0.894 eV per atom
# - Crystal system: monoclinic
# - Volume: 337.0 Å³ per cell
# - Magnetization: 0.00 Bohr magnetons per cell
data_Cs2SmZn2Te4
_chemical_formula_sum 'Cs2 Sm1 Zn2 Te4'
_space_group_name_H-M_alt 'P 1'
_space_group_IT_number 1
_cell_length_a 4.818
_cell_length_b 8.806
_cell_length_c 8.718
_cell_angle_alpha 107.80
_cell_angle_beta 106.04
_cell_angle_gamma 90.00
loop_
_space_group_symop_operation_xyz
'x,y,z'
loop_
_atom_site_label
_atom_site_fract_x
_atom_site_fract_y
_atom_site_fract_z
Cs1 0.134 0.564 0.267
Cs2 0.866 0.436 0.733
Zn1 0.327 0.004 0.654
Zn2 0.673 0.996 0.346
Te1 0.484 0.229 0.968
Te2 0.200 0.156 0.399
Te3 0.800 0.844 0.601
Te4 0.516 0.771 0.032
Sm1 0.000 0.000 0.000

=====

# CsSmZnTe3 | Alexandria via LeMat-Bulk | PBE | optimized geometry
# - D(E_F): 0.00 states/eV/f.u.
# - SG: Cmcm (63)
# - Formation energy (no corrections): -1.111 eV per atom
# - Crystal system: orthorhombic
# - Volume: 463.5 Å³ per cell
# - Magnetization: 0.00 Bohr magnetons per cell
data_CsSmZnTe3
_chemical_formula_sum 'Cs2 Sm2 Zn2 Te6'
_space_group_name_H-M_alt 'P 1'
_space_group_IT_number 1
_cell_length_a 4.492
_cell_length_b 8.942
_cell_length_c 11.922
_cell_angle_alpha 90.00
_cell_angle_beta 90.00
_cell_angle_gamma 104.55
loop_
_space_group_symop_operation_xyz
'x,y,z'
loop_
_atom_site_label
_atom_site_fract_x
_atom_site_fract_y
_atom_site_fract_z
Zn1 0.536 0.071 0.250
Zn2 0.464 0.929 0.750
Sm1 0.000 0.000 0.500
Sm2 0.000 0.000 0.000
Te1 0.060 0.121 0.750
Te2 0.620 0.240 0.437
Te3 0.380 0.760 0.937
Te4 0.380 0.760 0.563
Te5 0.620 0.240 0.063
Te6 0.940 0.879 0.250
Cs1 0.747 0.493 0.750
Cs2 0.253 0.507 0.250

=====

# Cs3Sm2ZrTe6 | Alexandria via LeMat-Bulk | PBE | optimized geometry
# - D(E_F): 5.46 states/eV/f.u.
# - SG: C2/m (12)
# - Formation energy (no corrections): -1.228 eV per atom
# - Crystal system: monoclinic
# - Volume: 471.8 Å³ per cell
# - Magnetization: 0.61 Bohr magnetons per cell
data_Cs3Sm2ZrTe6
_chemical_formula_sum 'Cs3 Sm2 Zr1 Te6'
_space_group_name_H-M_alt 'P 1'
_space_group_IT_number 1
_cell_length_a 7.797
_cell_length_b 7.797
_cell_length_c 9.333
_cell_angle_alpha 98.02
_cell_angle_beta 98.02
_cell_angle_gamma 120.01
loop_
_space_group_symop_operation_xyz
'x,y,z'
loop_
_atom_site_label
_atom_site_fract_x
_atom_site_fract_y
_atom_site_fract_z
Cs1 0.172 0.828 0.500
Cs2 0.500 0.500 0.500
Cs3 0.828 0.172 0.500
Zr1 0.000 0.000 0.000
Te1 0.937 0.620 0.810
Te2 0.380 0.063 0.190
Te3 0.748 0.748 0.193
Te4 0.620 0.937 0.810
Te5 0.252 0.252 0.807
Te6 0.063 0.380 0.190
Sm1 0.666 0.334 0.000
Sm2 0.334 0.666 0.000